a:
The following is a PBE calculation of a geometry-optimized Sr2Tl3Zn structure, from Alexandria.

Magnetization (μB/atom): 0.000

Lattice parameters (Å, degrees): 6.5021 6.5021 10.2784 113.00 113.00 76.40
Closest atoms and distances in Å follow each position.
Positions (direct):
Sr1 0.7500 0.2500 0.5000  8 Tl 3.52-3.54, 4 Zn 3.57
Sr2 0.7525 0.2475 0.0000  10 Tl 3.54-3.70, 2 Zn 3.61
Sr3 0.2500 0.7500 0.5000  8 Tl 3.52-3.54, 4 Zn 3.57
Sr4 0.2475 0.7525 0.0000  10 Tl 3.54-3.70, 2 Zn 3.61
Tl1 0.8267 0.8267 0.1739  1 Zn 2.84, 2 Tl 3.09-3.10
Tl2 0.6528 0.6528 0.8261  1 Zn 2.84, 2 Tl 3.09-3.10
Tl3 0.1733 0.1733 0.8261  1 Zn 2.84, 2 Tl 3.09-3.10
Tl4 0.3472 0.3472 0.1739  1 Zn 2.84, 2 Tl 3.09-3.10
Tl5 0.1746 0.1746 0.3492  1 Zn 2.82, 2 Tl 3.09
Tl6 0.8254 0.8254 0.6508  1 Zn 2.82, 2 Tl 3.09
Zn1 0.6671 0.6671 0.3342  3 Tl 2.82-2.84
Zn2 0.3329 0.3329 0.6658  3 Tl 2.82-2.84

***

b:
The following is a PBE calculation of a geometry-optimized Sr2Tl3Zn structure, from Alexandria.

Magnetization (μB/atom): 0.000

Lattice parameters (Å, degrees): 5.0827 6.4994 6.4966 77.59 66.97 66.98
Closest atoms and distances in Å follow each position.
Positions (direct):
Sr1 0.5384 0.2075 0.7157  9 Tl 3.50-3.80, 3 Zn 3.57-3.77
Sr2 0.4539 0.7955 0.2966  8 Tl 3.43-3.75, 3 Zn 3.53-3.54
Tl1 0.8564 0.6098 0.6774  1 Zn 2.85, 2 Tl 3.09
Tl2 0.8205 0.2352 0.1237  2 Zn 2.86, 1 Tl 3.16
Tl3 0.1601 0.7653 0.9146  1 Zn 3.00, 3 Tl 3.09-3.16
Zn1 0.1706 0.3867 0.2720  4 Tl 2.85-3.00

***

Which of them is least stable? Easy: a.

***

a:
The following is a PBE calculation of a geometry-optimized SrTmZn structure, from Alexandria.

Magnetization (μB/atom): 0.000

Lattice parameters (Å, degrees): 4.9200 4.9200 7.8505 90.00 90.00 90.00
Closest atoms and distances in Å follow each position.
Positions (direct):
Sr1 0.0000 0.5000 0.8638  5 Zn 3.32-3.67
Sr2 0.5000 0.0000 0.1362  5 Zn 3.32-3.67
Zn1 0.0000 0.5000 0.2869  4 Tm 2.98, 1 Sr 3.32
Zn2 0.5000 0.0000 0.7131  4 Tm 2.98, 1 Sr 3.32
Tm1 0.5000 0.5000 0.5000  4 Zn 2.98
Tm2 0.0000 0.0000 0.5000  4 Zn 2.98

***

b:
The following is a PBE calculation of a geometry-optimized SrTmZn structure, from Alexandria.

Magnetization (μB/atom): 0.000

Lattice parameters (Å, degrees): 3.7078 3.7078 7.1155 105.10 105.10 90.00
Closest atoms and distances in Å follow each position.
Positions (direct):
Sr1 0.0203 0.0203 0.0406  4 Zn 3.42, 1 Tm 3.61, 4 Sr 3.71
Zn1 0.6864 0.6864 0.3728  4 Tm 2.98
Tm1 0.2933 0.2933 0.5866  4 Zn 2.98

***

Which of them is least stable? Easy: b.